(1)
PmFe4Ge12 | PBE-GGA | optimized geometry Values from VASP.

Structure (Quantum ESPRESSO input):
```
&SYSTEM
  ibrav = 0, nat = 17, ntyp = 3
/
ATOMIC_SPECIES
Pm 145.00 Pm.upf
Fe 55.84 Fe.upf
Ge 72.64 Ge.upf
ATOMIC_POSITIONS angstrom
Pm 0.000 0.000 0.000
Fe 2.119 2.119 -2.119
Fe 2.119 -2.119 2.119
Fe -2.119 2.119 2.119
Fe 2.119 2.119 2.119
Ge 2.894 0.000 1.420
Ge 5.581 0.000 1.420
Ge 4.238 2.818 -1.344
Ge 1.420 2.894 0.000
Ge 2.818 -1.344 4.238
Ge 4.238 2.818 1.344
Ge 0.000 1.420 2.894
Ge 1.420 5.581 0.000
Ge 2.818 1.344 4.238
Ge 0.000 1.420 5.581
Ge -1.344 4.238 2.818
Ge 1.344 4.238 2.818
CELL_PARAMETERS angstrom
-4.238 4.238 4.238
4.238 -4.238 4.238
4.238 4.238 -4.238
```

Output
DFT formation energy	0.0196	eV/atom

=====

(2)
PmFe4Ge8 | PBE-GGA | optimized geometry Values from VASP.

Structure (Quantum ESPRESSO input):
```
&SYSTEM
  ibrav = 0, nat = 13, ntyp = 3
/
ATOMIC_SPECIES
Pm 145.00 Pm.upf
Fe 55.84 Fe.upf
Ge 72.64 Ge.upf
ATOMIC_POSITIONS angstrom
Pm 0.000 0.000 0.000
Fe 2.207 2.207 -1.314
Fe 2.207 -2.207 1.314
Fe -2.207 2.207 1.314
Fe 2.207 2.207 1.314
Ge 3.031 0.000 0.000
Ge 5.797 0.000 0.000
Ge 4.414 2.541 0.000
Ge 0.000 3.031 0.000
Ge 2.541 4.414 0.000
Ge 1.873 0.000 2.627
Ge 0.000 5.797 0.000
Ge 0.000 1.873 2.627
CELL_PARAMETERS angstrom
-4.414 4.414 2.627
4.414 -4.414 2.627
4.414 4.414 -2.627
```

Output
DFT formation energy	-0.0377	eV/atom

=====

(3)
Pm3Fe2Ge4 | PBE-GGA | optimized geometry Values from VASP.

Structure (Quantum ESPRESSO input):
```
&SYSTEM
  ibrav = 0, nat = 9, ntyp = 3
/
ATOMIC_SPECIES
Pm 145.00 Pm.upf
Fe 55.84 Fe.upf
Ge 72.64 Ge.upf
ATOMIC_POSITIONS angstrom
Pm 0.000 0.000 0.000
Pm 3.408 0.000 2.382
Pm 5.038 0.000 5.403
Fe 1.801 0.000 4.933
Fe 6.644 0.000 2.852
Ge 0.187 0.000 3.125
Ge 0.879 0.000 7.120
Ge 7.567 0.000 0.664
Ge 8.258 0.000 4.659
CELL_PARAMETERS angstrom
5.467 -2.124 0.000
5.467 2.124 0.000
-2.489 0.000 7.785
```

Output
DFT formation energy	-0.6037	eV/atom

=====

In eV per atom, the calculated total energy values for the records above are, in order, -5.510; -5.848; -6.120.